[1]
4
Lattice="1.7844 -2.4318 0.0000 1.7844 2.4318 0.0000 0.0000 0.0000 9.4956" Properties=species:S:1:pos:R:3 comment="GGA-PBE Al2SiCl, optimized geometry" e_form_raw_kj_per_mol_atoms=2.2 polymorph_energy_mev_per_atom=62 pbc="T T T"
Al 0.0000 0.0000 0.0000
Al 1.7844 0.0000 2.0657
Si 0.0000 0.0000 3.8997
Cl 1.7844 0.0000 7.7940


[2]
8
Lattice="-4.0534 4.0534 4.0137 4.0534 -4.0534 4.0137 4.0534 4.0534 -4.0137" Properties=species:S:1:pos:R:3 comment="GGA-PBE Sr2BTe, optimized geometry" e_form_raw_kj_per_mol_atoms=-3.2 polymorph_energy_mev_per_atom=0 pbc="T T T"
Sr 6.0801 1.6555 -1.0034
Sr 1.6555 2.0267 1.0034
Sr -2.0267 2.3978 3.0103
Sr 2.3978 2.0267 5.0171
B 0.0000 0.0000 0.0000
B 0.0000 4.0534 2.0069
Te 4.0534 0.0000 2.0069
Te 0.0000 0.0000 4.0137


[3]
5
Lattice="5.7594 0.0000 0.0000 0.0000 5.7594 0.0000 0.0000 0.0000 4.2689" Properties=species:S:1:pos:R:3 comment="GGA-PBE ZrTlTe2F, optimized geometry" e_form_raw_kj_per_mol_atoms=-125.4 pbc="T T T"
Zr 0.0000 0.0000 0.0000
Tl 2.8797 2.8797 2.1345
Te 0.0000 2.8797 0.0000
Te 2.8797 0.0000 0.0000
F 0.0000 0.0000 2.1345


[4]
19
Lattice="4.5531 2.6288 4.4587 -4.5531 2.6288 4.4587 0.0000 -5.2575 4.4587" Properties=species:S:1:pos:R:3 comment="GGA-PBE Th2Zn15Ag2, optimized geometry" formation_energy_ev_per_atom=-0.214 pbc="T T T"
Th 0.0000 0.0000 2.1000
Th 0.0000 0.0000 11.2759
Zn -2.2766 -1.3144 4.4587
Zn 0.0000 -2.6924 4.2720
Zn -2.3317 1.3462 4.2720
Zn -1.3267 -2.2978 6.6880
Zn -2.6533 0.0000 6.6880
Zn -2.3317 -1.3462 9.1040
Zn -2.2766 1.3144 8.9173
Zn 1.3267 -2.2978 6.6880
Zn 0.0000 2.6288 4.4587
Zn -1.3267 2.2978 6.6880
Zn 2.3317 1.3462 4.2720
Zn 2.6533 0.0000 6.6880
Zn 1.3267 2.2978 6.6880
Zn 2.3317 -1.3462 9.1040
Zn 0.0000 2.6924 9.1040
Ag 0.0000 0.0000 5.2643
Ag 0.0000 0.0000 8.1117


[5]
6
Lattice="1.7341 -7.7729 0.0000 1.7341 7.7729 0.0000 0.0000 0.0000 6.0294" Properties=species:S:1:pos:R:3 comment="GGA-PBE Sb5Au, optimized geometry" e_form_raw_kj_per_mol_atoms=10.3 polymorph_energy_mev_per_atom=93 pbc="T T T"
Sb 0.0000 0.0000 0.0000
Sb 1.7341 2.6093 0.0000
Sb 1.7341 2.3207 3.0147
Sb 1.7341 -2.3207 3.0147
Sb 1.7341 -2.6093 0.0000
Au 0.0000 0.0000 3.0147


[6]
3
Lattice="0.0000 3.0097 3.0097 3.0097 0.0000 3.0097 3.0097 3.0097 0.0000" Properties=species:S:1:pos:R:3 comment="GGA-PBE TaCuPt, optimized geometry" formation_energy_ev_per_atom=-0.003 polymorph_energy_mev_per_atom=412 pbc="T T T"
Ta 0.0000 0.0000 0.0000
Cu 3.0097 3.0097 3.0097
Pt 1.5049 1.5049 1.5049